The following is a DFT calculation (GGA+U) of a relaxed Sm2AlVO6 crystal.

POSCAR file:
```
Sm2AlVO6
1.0
5.3788 0.0000 -0.0217
0.0000 5.5557 0.0000
0.0143 0.0000 7.6701
O Sm V Al
12 4 2 2
Cartesian
3.7572 1.5829 4.1866
1.1513 1.1143 3.4774
1.6360 3.9728 3.4618
0.4899 2.6495 5.8107
2.2210 5.4273 5.6836
3.1722 0.1284 1.9648
3.8479 1.6635 7.3016
4.2419 4.4414 4.1710
4.3325 4.3608 7.2860
1.5453 3.8922 0.3468
4.9032 2.9062 1.8377
1.0606 1.1949 0.3624
2.7768 3.0804 5.7366
0.0803 5.2531 1.9124
5.3129 0.3026 5.7360
2.6163 2.4753 1.9118
2.6894 0.0000 -0.0108
0.0072 2.7779 3.8350
2.6966 0.0000 3.8242
0.0000 2.7779 0.0000
```

Computed properties:
Crystal system: monoclinic
Theoretical density, g/cm3: 6.9
Uncorrected energy, eV per atom: -8.0789